Record 1
VASP calculation (PBE-GGA) on SrSi2Sb after structural relaxation.

a b c (Å): 7.3720 7.3720 7.3720
angles (deg): 90.00 90.00 90.00
Closest atoms and distances in Å follow each position.
Space group F-43m (No. 216)
Asymmetric unit:
Sr 0.0000 0.0000 0.0000 x4  4 Sb 3.19, 4 Si 3.19
Si 0.0000 0.0000 0.5000 x4  4 Sb 3.19, 4 Si 3.19
Si 0.2500 0.2500 0.2500 x4  4 Sr 3.19, 4 Si 3.19
Sb 0.2500 0.2500 0.7500 x4  4 Sr 3.19, 4 Si 3.19

Computed properties:
As for the total magnetic moment: 0.0 Bohr magnetons per cell. The calculation puts the uncorrected formation energy at 314 meV/atom.

Record 2
VASP calculation (PBE-GGA) on Pm2ZnTc after structural relaxation.

a b c (Å): 3.5864 3.5864 7.2279
angles (deg): 90.00 90.00 90.00
Closest atoms and distances in Å follow each position.
Space group P4/mmm (No. 123)
Asymmetric unit:
Pm 0.0000 0.0000 0.2316 x2  4 Tc 3.04, 4 Zn 3.19, 1 Pm 3.35
Zn 0.5000 0.5000 0.5000 x1  8 Pm 3.19
Tc 0.5000 0.5000 0.0000 x1  8 Pm 3.04

Computed properties:
As for the total magnetic moment: 0.0 Bohr magnetons per cell. Its calculated formation energy is -0.062 eV/atom. The value obtained for the energy above the most stable polymorph in this dataset is 0.000 eV per atom.

Record 3
VASP calculation (PBE-GGA) on MgAl3S after structural relaxation.

a b c (Å): 5.0884 5.0884 5.0884
angles (deg): 90.00 90.00 90.00
Closest atoms and distances in Å follow each position.
Space group Pm-3m (No. 221)
Asymmetric unit:
Mg 0.0000 0.0000 0.0000 x1  6 Al 2.54
Al 0.0000 0.0000 0.5000 x3  2 Mg 2.54
S 0.5000 0.5000 0.5000 x1  12 Al 3.60

Computed properties:
As for the total magnetic moment: 0.0 Bohr magnetons per cell. The calculation puts the uncorrected formation energy at 861 meV/atom. The value obtained for the energy above the most stable polymorph in this dataset is 0.498 eV per atom.